Record 1
This record from the Alexandria database describes a relaxed TaIrOs2 crystal. The functional is GGA-PBEsol.

POSCAR file:
```
TaIrOs2
1.0
-3.380 1.904 0.188
-1.751 -2.923 -1.866
-0.775 -1.713 3.410
Ir Os Ta
1 2 1
Cartesian
-0.387 -0.856 1.705
-0.875 -1.461 -0.933
-1.690 0.952 0.094
-2.953 -1.365 0.867
```

Values from the calculation:
The energy comes out at -0.885 Ry per atom. Its total magnetization is 0.00 μB/f.u. The value obtained for the energy above the most stable polymorph in this dataset is 0 meV per atom.

***

Record 2
This record from the Alexandria database describes a relaxed TaIrOs2 crystal. The functional is GGA-PBEsol.

POSCAR file:
```
TaIrOs2
1.0
-2.693 -0.702 -2.703
1.220 -3.673 -0.262
-1.800 1.145 4.279
Ir Os Ta
1 2 1
Cartesian
-0.658 -2.357 1.267
0.000 0.000 0.000
-2.614 -0.872 0.047
-0.736 -2.187 -1.482
```

Values from the calculation:
The energy comes out at -0.880 Ry per atom. Its total magnetization is 0.00 μB/f.u. The value obtained for the energy above the most stable polymorph in this dataset is 71 meV per atom.

***

Record 3
This record from the Alexandria database describes a relaxed TaIr2Os crystal. The functional is GGA-PBEsol.

POSCAR file:
```
TaIr2Os
1.0
3.890 0.000 0.000
0.000 3.890 0.000
-1.945 -1.945 3.895
Ir Os Ta
2 1 1
Cartesian
0.000 0.000 0.000
0.000 1.945 1.947
1.945 1.945 0.000
1.945 0.000 1.947
```

Values from the calculation:
The energy comes out at -0.844 Ry per atom. Its total magnetization is 0.00 μB/f.u. The value obtained for the energy above the most stable polymorph in this dataset is 148 meV per atom.

***

Record 4
This record from the Alexandria database describes a relaxed TaIr2Os crystal. The functional is GGA-PBEsol.

POSCAR file:
```
TaIr2Os
1.0
2.770 0.000 0.000
0.000 4.742 0.001
0.000 -1.571 4.475
Ir Os Ta
2 1 1
Cartesian
0.000 2.371 0.000
0.000 -0.785 2.237
1.385 0.000 0.000
1.385 1.586 2.238
```

Values from the calculation:
The energy comes out at -0.843 Ry per atom. Its total magnetization is 0.00 μB/f.u. The value obtained for the energy above the most stable polymorph in this dataset is 160 meV per atom.

***

Record 5
This record from the Alexandria database describes a relaxed Ta2IrOs crystal. The functional is GGA-PBEsol.

POSCAR file:
```
Ta2IrOs
1.0
4.147 0.000 0.000
-2.073 4.205 0.007
0.000 2.039 3.611
Ir Os Ta
1 1 2
Cartesian
2.073 1.020 1.805
0.000 0.000 0.000
0.000 2.612 0.906
2.073 3.632 2.711
```

Values from the calculation:
The energy comes out at -0.894 Ry per atom. Its total magnetization is 0.00 μB/f.u.

***

Record 6
This record from the Alexandria database describes a relaxed Ta2IrOs crystal. The functional is GGA-PBEsol.

POSCAR file:
```
Ta2IrOs
1.0
-2.874 -0.297 0.486
-0.031 -2.415 -1.659
1.425 -4.090 5.925
Ir Os Ta
1 1 2
Cartesian
-1.453 -1.356 -0.587
-0.740 -3.401 2.376
1.059 -3.039 4.404
0.366 -1.050 1.522
```

Values from the calculation:
The energy comes out at -0.894 Ry per atom. Its total magnetization is 0.00 μB/f.u.

***

Record 7
This record from the Alexandria database describes a relaxed Ta2IrOs crystal. The functional is GGA-PBEsol.

POSCAR file:
```
Ta2IrOs
1.0
-1.291 1.906 1.839
-1.138 -2.783 2.085
4.923 0.325 3.121
Ir Os Ta
1 1 2
Cartesian
-1.215 -0.439 1.962
1.247 -0.276 3.522
3.681 0.243 2.333
1.242 0.082 0.787
```

Values from the calculation:
The energy comes out at -0.894 Ry per atom. Its total magnetization is 0.00 μB/f.u.

***

Record 8
This record from the Alexandria database describes a relaxed Ta2IrOs crystal. The functional is GGA-PBEsol.

POSCAR file:
```
Ta2IrOs
1.0
2.918 0.000 0.000
0.000 4.706 -0.024
0.000 -1.072 4.582
Ir Os Ta
1 1 2
Cartesian
1.459 0.000 0.000
1.459 1.817 2.279
0.000 -0.536 2.291
0.000 2.353 -0.012
```

Values from the calculation:
The energy comes out at -0.894 Ry per atom. Its total magnetization is 0.00 μB/f.u.

***

Record 9
This record from the Alexandria database describes a relaxed TaIr2Os crystal. The functional is GGA-PBEsol.

POSCAR file:
```
TaIr2Os
1.0
-3.322 -0.524 1.919
-0.525 -3.372 -1.829
3.866 0.096 2.812
Ir Os Ta
2 1 1
Cartesian
0.709 -2.612 0.514
-0.690 -1.188 2.388
-1.923 -1.948 0.045
0.000 0.000 0.000
```

Values from the calculation:
The energy comes out at -0.849 Ry per atom. Its total magnetization is 0.00 μB/f.u. The value obtained for the energy above the most stable polymorph in this dataset is 81 meV per atom.

***

Record 10
This record from the Alexandria database describes a relaxed TaIr2Os crystal. The functional is GGA-PBEsol.

POSCAR file:
```
TaIr2Os
1.0
-2.501 1.438 2.600
2.178 -1.423 2.883
2.021 3.315 0.110
Ir Os Ta
2 1 1
Cartesian
1.089 -0.712 1.441
-1.250 0.719 1.300
0.849 1.665 2.796
1.011 1.658 0.055
```

Values from the calculation:
The energy comes out at -0.855 Ry per atom. Its total magnetization is 0.00 μB/f.u. The value obtained for the energy above the most stable polymorph in this dataset is 0 meV per atom.

***

Record 11
This record from the Alexandria database describes a relaxed TaIr2Os crystal. The functional is GGA-PBEsol.

POSCAR file:
```
TaIr2Os
1.0
-1.560 1.119 2.020
2.746 -2.050 3.257
2.949 3.425 -1.541
Ir Os Ta
2 1 1
Cartesian
1.736 1.480 0.521
2.400 1.014 3.214
-0.780 0.559 1.010
1.373 -1.025 1.628
```

Values from the calculation:
The energy comes out at -0.834 Ry per atom. Its total magnetization is 0.00 μB/f.u. The value obtained for the energy above the most stable polymorph in this dataset is 273 meV per atom.

***

Record 12
This record from the Alexandria database describes a relaxed TcIr2Os crystal. The functional is GGA-PBEsol.

POSCAR file:
```
TcIr2Os
1.0
3.807 -0.001 -0.024
-0.001 3.807 0.025
-1.878 -1.928 3.850
Ir Os Tc
2 1 1
Cartesian
1.916 -0.013 1.913
0.012 1.892 1.938
0.000 0.000 0.000
1.903 1.903 0.001
```

Values from the calculation:
The energy comes out at -0.799 Ry per atom. Its total magnetization is 0.00 μB/f.u. The value obtained for the energy above the most stable polymorph in this dataset is 78 meV per atom.

***

Record 13
This record from the Alexandria database describes a relaxed TcIr2Os crystal. The functional is GGA-PBEsol.

POSCAR file:
```
TcIr2Os
1.0
2.689 0.000 0.000
0.000 4.701 0.004
0.000 -1.621 4.413
Ir Os Tc
2 1 1
Cartesian
0.000 2.351 0.002
0.000 -0.811 2.206
1.345 0.000 0.000
1.345 1.540 2.208
```

Values from the calculation:
The energy comes out at -0.799 Ry per atom. Its total magnetization is 0.00 μB/f.u. The value obtained for the energy above the most stable polymorph in this dataset is 82 meV per atom.

***

Record 14
This record from the Alexandria database describes a relaxed TcIr2Os crystal. The functional is GGA-PBEsol.

POSCAR file:
```
TcIr2Os
1.0
-3.435 -1.084 1.231
1.334 -0.184 3.560
-0.967 3.690 0.553
Ir Os Tc
2 1 1
Cartesian
0.667 -0.092 1.780
-1.717 -0.542 0.615
-1.534 1.211 2.672
-0.483 1.845 0.276
```

Values from the calculation:
The energy comes out at -0.799 Ry per atom. Its total magnetization is 0.00 μB/f.u. The value obtained for the energy above the most stable polymorph in this dataset is 71 meV per atom.

***

Record 15
This record from the Alexandria database describes a relaxed TcIr2Os crystal. The functional is GGA-PBEsol.

POSCAR file:
```
TcIr2Os
1.0
2.711 0.000 0.000
0.000 4.330 0.000
0.000 0.000 4.746
Ir Os Tc
2 1 1
Cartesian
0.000 0.000 0.196
0.000 2.165 3.361
1.356 0.000 2.559
1.356 2.165 1.003
```

Values from the calculation:
The energy comes out at -0.805 Ry per atom. Its total magnetization is 0.00 μB/f.u. The value obtained for the energy above the most stable polymorph in this dataset is 0 meV per atom.

***

The evaluated formation energy for the records listed, in turn: -336.6; -265.5; -374.9; -362.5; -382.5; -374.7; -375.2; -375.5; -442.2; -522.8; -250.3; -87.1; -82.9; -94.1; -164.8 meV per atom.